Here is a relaxed structure of Na3VS2O8F2 from Alexandria via LeMat-Bulk. Energies are from GGA+U.

Computed properties:
The uncorrected energy comes out at -5.922 eV per atom.

a b c (Å): 6.739 9.005 14.149
angles (deg): 90.00 90.00 90.00
Last column: magnetic moment on the atom in μB.
Element x y z (fractional)
O1 0.815 0.265 0.610  0.00
O2 0.685 0.765 0.110  0.00
O3 0.447 0.054 0.301  -0.01
O4 0.887 0.792 0.792  0.00
O5 0.553 0.946 0.699  -0.01
O6 0.053 0.554 0.801  -0.01
O7 0.613 0.292 0.292  0.00
O8 0.387 0.792 0.208  0.00
O9 0.876 0.644 0.937  0.00
O10 0.624 0.356 0.937  0.00
O11 0.376 0.856 0.563  0.00
O12 0.887 0.708 0.292  0.00
O13 0.053 0.946 0.301  -0.01
O14 0.387 0.708 0.708  0.00
O15 0.447 0.446 0.801  -0.01
O16 0.947 0.054 0.699  -0.01
O17 0.613 0.208 0.792  0.00
O18 0.113 0.292 0.708  0.00
O19 0.376 0.644 0.063  0.00
O20 0.876 0.856 0.437  0.00
O21 0.185 0.735 0.390  0.00
O22 0.315 0.235 0.890  0.00
O23 0.124 0.144 0.563  0.00
O24 0.113 0.208 0.208  0.00
O25 0.185 0.765 0.890  0.00
O26 0.685 0.735 0.610  0.00
O27 0.124 0.356 0.063  0.00
O28 0.553 0.554 0.199  -0.01
O29 0.315 0.265 0.390  0.00
O30 0.815 0.235 0.110  0.00
O31 0.947 0.446 0.199  -0.01
O32 0.624 0.144 0.437  0.00
Na1 0.750 0.500 0.549  0.00
Na2 0.019 0.668 0.096  0.00
Na3 0.519 0.668 0.904  0.00
Na4 0.981 0.332 0.904  0.00
Na5 0.981 0.168 0.404  0.00
Na6 0.250 0.000 0.951  0.00
Na7 0.019 0.832 0.596  0.00
Na8 0.519 0.832 0.404  0.00
Na9 0.250 0.500 0.451  0.00
Na10 0.481 0.332 0.096  0.00
Na11 0.750 0.000 0.049  0.00
Na12 0.481 0.168 0.596  0.00
F1 0.424 0.429 0.597  0.00
F2 0.576 0.571 0.403  0.00
F3 0.424 0.071 0.097  0.00
F4 0.076 0.929 0.097  0.00
F5 0.076 0.571 0.597  0.00
F6 0.924 0.429 0.403  0.00
F7 0.924 0.071 0.903  0.00
F8 0.576 0.929 0.903  0.00
S1 0.002 0.807 0.358  0.01
S2 0.498 0.193 0.358  0.01
S3 0.502 0.693 0.142  0.01
S4 0.498 0.307 0.858  0.01
S5 0.998 0.193 0.642  0.01
S6 0.502 0.807 0.642  0.01
S7 0.998 0.307 0.142  0.01
S8 0.002 0.693 0.858  0.01
V1 0.250 0.000 0.198  1.91
V2 0.750 0.000 0.802  1.91
V3 0.250 0.500 0.698  1.91
V4 0.750 0.500 0.302  1.91